1.
This record from Alexandria describes Cd2PtCl at its PBEsol-relaxed geometry. The functional is meta-GGA SCAN.

Summary:
Uncorrected energy, eV/atom: -34.839
Crystal system: tetragonal
Energy relative to the lowest polymorph listed for this composition, meV per atom: 180
SG: I-4m2
Raw formation energy, eV/atom: -0.09

Geometry as CIF:
```
data_Cd2PtCl
_cell_length_a 5.8798
_cell_length_b 5.8798
_cell_length_c 5.8798
_cell_angle_alpha 141.74
_cell_angle_beta 141.74
_cell_angle_gamma 55.22
_symmetry_space_group_name_H-M 'P 1'
_symmetry_Int_Tables_number 1
loop_
_symmetry_equiv_pos_as_xyz
'x,y,z'
loop_
_atom_site_label
_atom_site_type_symbol
_atom_site_fract_x
_atom_site_fract_y
_atom_site_fract_z
Cd1 Cd 0.0000 0.0000 0.0000
Cd2 Cd 0.7500 0.2500 0.5000
Pt1 Pt 0.2500 0.7500 0.5000
Cl1 Cl 0.5000 0.5000 0.0000
```

2.
This record from Alexandria describes Cd2PtCl at its PBEsol-relaxed geometry. The functional is meta-GGA SCAN.

Summary:
Uncorrected energy, eV/atom: -34.846
Crystal system: orthorhombic
Energy relative to the lowest polymorph listed for this composition, meV per atom: 172
SG: Immm
Raw formation energy, eV/atom: -0.10

Geometry as CIF:
```
data_Cd2PtCl
_cell_length_a 5.4942
_cell_length_b 5.4942
_cell_length_c 5.4942
_cell_angle_alpha 145.53
_cell_angle_beta 110.46
_cell_angle_gamma 79.98
_symmetry_space_group_name_H-M 'P 1'
_symmetry_Int_Tables_number 1
loop_
_symmetry_equiv_pos_as_xyz
'x,y,z'
loop_
_atom_site_label
_atom_site_type_symbol
_atom_site_fract_x
_atom_site_fract_y
_atom_site_fract_z
Cd1 Cd 0.2494 0.2494 0.0000
Cd2 Cd 0.7506 0.7506 0.0000
Pt1 Pt 0.5000 0.0000 0.5000
Cl1 Cl 0.0000 0.5000 0.5000
```

3.
This record from Alexandria describes CdPtCl3 at its PBEsol-relaxed geometry. The functional is meta-GGA SCAN.

Summary:
Uncorrected energy, eV/atom: -25.167
Crystal system: cubic
SG: Pm-3m
Raw formation energy, eV/atom: -0.26

Geometry as CIF:
```
data_CdPtCl3
_cell_length_a 4.8075
_cell_length_b 4.8075
_cell_length_c 4.8075
_cell_angle_alpha 90.00
_cell_angle_beta 90.00
_cell_angle_gamma 90.00
_symmetry_space_group_name_H-M 'P 1'
_symmetry_Int_Tables_number 1
loop_
_symmetry_equiv_pos_as_xyz
'x,y,z'
loop_
_atom_site_label
_atom_site_type_symbol
_atom_site_fract_x
_atom_site_fract_y
_atom_site_fract_z
Cd1 Cd 0.0000 0.0000 0.0000
Pt1 Pt 0.5000 0.5000 0.5000
Cl1 Cl 0.0000 0.5000 0.5000
Cl2 Cl 0.5000 0.0000 0.5000
Cl3 Cl 0.5000 0.5000 0.0000
```

4.
This record from Alexandria describes CdPt2Cl at its PBEsol-relaxed geometry. The functional is meta-GGA SCAN.

Summary:
Uncorrected energy, eV/atom: -44.220
Crystal system: tetragonal
Energy relative to the lowest polymorph listed for this composition, meV per atom: 382
SG: P4/mmm
Raw formation energy, eV/atom: 0.47

Geometry as CIF:
```
data_CdPt2Cl
_cell_length_a 4.7177
_cell_length_b 4.7177
_cell_length_c 2.9913
_cell_angle_alpha 90.00
_cell_angle_beta 90.00
_cell_angle_gamma 90.00
_symmetry_space_group_name_H-M 'P 1'
_symmetry_Int_Tables_number 1
loop_
_symmetry_equiv_pos_as_xyz
'x,y,z'
loop_
_atom_site_label
_atom_site_type_symbol
_atom_site_fract_x
_atom_site_fract_y
_atom_site_fract_z
Cd1 Cd 0.0000 0.0000 0.0000
Pt1 Pt 0.0000 0.5000 0.5000
Pt2 Pt 0.5000 0.0000 0.5000
Cl1 Cl 0.5000 0.5000 0.0000
```

5.
This record from Alexandria describes CdPt3Cl at its PBEsol-relaxed geometry. The functional is meta-GGA SCAN.

Summary:
Uncorrected energy, eV/atom: -48.907
Crystal system: cubic
SG: Pm-3m
Raw formation energy, eV/atom: 0.89

Geometry as CIF:
```
data_CdPt3Cl
_cell_length_a 4.5183
_cell_length_b 4.5183
_cell_length_c 4.5183
_cell_angle_alpha 90.00
_cell_angle_beta 90.00
_cell_angle_gamma 90.00
_symmetry_space_group_name_H-M 'P 1'
_symmetry_Int_Tables_number 1
loop_
_symmetry_equiv_pos_as_xyz
'x,y,z'
loop_
_atom_site_label
_atom_site_type_symbol
_atom_site_fract_x
_atom_site_fract_y
_atom_site_fract_z
Cd1 Cd 0.0000 0.0000 0.0000
Pt1 Pt 0.0000 0.5000 0.5000
Pt2 Pt 0.5000 0.0000 0.5000
Pt3 Pt 0.5000 0.5000 0.0000
Cl1 Cl 0.5000 0.5000 0.5000
```

6.
This record from Alexandria describes Cd2PtCl at its PBEsol-relaxed geometry. The functional is meta-GGA SCAN.

Summary:
Uncorrected energy, eV/atom: -35.019
Crystal system: tetragonal
Energy relative to the lowest polymorph listed for this composition, meV per atom: 0
SG: P4mm
Raw formation energy, eV/atom: -0.27

Geometry as CIF:
```
data_Cd2PtCl
_cell_length_a 3.8555
_cell_length_b 3.8555
_cell_length_c 5.6302
_cell_angle_alpha 90.00
_cell_angle_beta 90.00
_cell_angle_gamma 90.00
_symmetry_space_group_name_H-M 'P 1'
_symmetry_Int_Tables_number 1
loop_
_symmetry_equiv_pos_as_xyz
'x,y,z'
loop_
_atom_site_label
_atom_site_type_symbol
_atom_site_fract_x
_atom_site_fract_y
_atom_site_fract_z
Cd1 Cd 0.0000 0.0000 0.0000
Cd2 Cd 0.5000 0.5000 0.4981
Pt1 Pt 0.5000 0.5000 0.9990
Cl1 Cl 0.0000 0.0000 0.5003
```

7.
This record from Alexandria describes Ta2CdPtCl at its PBEsol-relaxed geometry. The functional is meta-GGA SCAN.

Summary:
Uncorrected energy, eV/atom: -47.540
Crystal system: tetragonal
SG: P4/mmm
Raw formation energy, eV/atom: 0.81

Geometry as CIF:
```
data_Ta2CdPtCl
_cell_length_a 4.9103
_cell_length_b 4.9103
_cell_length_c 5.1509
_cell_angle_alpha 90.00
_cell_angle_beta 90.00
_cell_angle_gamma 90.00
_symmetry_space_group_name_H-M 'P 1'
_symmetry_Int_Tables_number 1
loop_
_symmetry_equiv_pos_as_xyz
'x,y,z'
loop_
_atom_site_label
_atom_site_type_symbol
_atom_site_fract_x
_atom_site_fract_y
_atom_site_fract_z
Ta1 Ta 0.0000 0.5000 0.0000
Ta2 Ta 0.5000 0.0000 0.0000
Cd1 Cd 0.0000 0.0000 0.5000
Pt1 Pt 0.0000 0.0000 0.0000
Cl1 Cl 0.5000 0.5000 0.5000
```

8.
This record from Alexandria describes CdPt2WCl at its PBEsol-relaxed geometry. The functional is meta-GGA SCAN.

Summary:
Uncorrected energy, eV/atom: -48.590
Crystal system: tetragonal
SG: P4/mmm
Raw formation energy, eV/atom: 1.10

Geometry as CIF:
```
data_CdPt2WCl
_cell_length_a 4.7250
_cell_length_b 4.7250
_cell_length_c 5.4995
_cell_angle_alpha 90.00
_cell_angle_beta 90.00
_cell_angle_gamma 90.00
_symmetry_space_group_name_H-M 'P 1'
_symmetry_Int_Tables_number 1
loop_
_symmetry_equiv_pos_as_xyz
'x,y,z'
loop_
_atom_site_label
_atom_site_type_symbol
_atom_site_fract_x
_atom_site_fract_y
_atom_site_fract_z
Cd1 Cd 0.0000 0.0000 0.0000
Pt1 Pt 0.0000 0.5000 0.5000
Pt2 Pt 0.5000 0.0000 0.5000
W1 W 0.0000 0.0000 0.5000
Cl1 Cl 0.5000 0.5000 0.0000
```

9.
This record from Alexandria describes RbCdCl2 at its PBEsol-relaxed geometry. The functional is meta-GGA SCAN.

Summary:
Uncorrected energy, eV/atom: -17.732
Crystal system: trigonal
SG: R-3m
Raw formation energy, eV/atom: -0.95

Geometry as CIF:
```
data_RbCdCl2
_cell_length_a 9.1983
_cell_length_b 9.1983
_cell_length_c 9.1983
_cell_angle_alpha 27.02
_cell_angle_beta 27.02
_cell_angle_gamma 27.02
_symmetry_space_group_name_H-M 'P 1'
_symmetry_Int_Tables_number 1
loop_
_symmetry_equiv_pos_as_xyz
'x,y,z'
loop_
_atom_site_label
_atom_site_type_symbol
_atom_site_fract_x
_atom_site_fract_y
_atom_site_fract_z
Rb1 Rb 0.0000 0.0000 0.0000
Cd1 Cd 0.5000 0.5000 0.5000
Cl1 Cl 0.1175 0.1175 0.1175
Cl2 Cl 0.8825 0.8825 0.8825
```

10.
This record from Alexandria describes Rb4CdCl6 at its PBEsol-relaxed geometry. The functional is meta-GGA SCAN.

Summary:
Uncorrected energy, eV/atom: -16.621
Crystal system: trigonal
SG: R-3c
Raw formation energy, eV/atom: -1.96

Geometry as CIF:
```
data_Rb4CdCl6
_cell_length_a 8.7942
_cell_length_b 8.7942
_cell_length_c 8.7942
_cell_angle_alpha 89.08
_cell_angle_beta 89.08
_cell_angle_gamma 89.08
_symmetry_space_group_name_H-M 'P 1'
_symmetry_Int_Tables_number 1
loop_
_symmetry_equiv_pos_as_xyz
'x,y,z'
loop_
_atom_site_label
_atom_site_type_symbol
_atom_site_fract_x
_atom_site_fract_y
_atom_site_fract_z
Rb1 Rb 0.1258 0.7500 0.3742
Rb2 Rb 0.2500 0.2500 0.2500
Rb3 Rb 0.2500 0.6258 0.8742
Rb4 Rb 0.3742 0.1258 0.7500
Rb5 Rb 0.6258 0.8742 0.2500
Rb6 Rb 0.7500 0.3742 0.1258
Rb7 Rb 0.7500 0.7500 0.7500
Rb8 Rb 0.8742 0.2500 0.6258
Cd1 Cd 0.0000 0.0000 0.0000
Cd2 Cd 0.5000 0.5000 0.5000
Cl1 Cl 0.0605 0.9296 0.7139
Cl2 Cl 0.0704 0.2861 0.9395
Cl3 Cl 0.2139 0.4296 0.5605
Cl4 Cl 0.2861 0.9395 0.0704
Cl5 Cl 0.4296 0.5605 0.2139
Cl6 Cl 0.4395 0.7861 0.5704
Cl7 Cl 0.5605 0.2139 0.4296
Cl8 Cl 0.5704 0.4395 0.7861
Cl9 Cl 0.7139 0.0605 0.9296
Cl10 Cl 0.7861 0.5704 0.4395
Cl11 Cl 0.9296 0.7139 0.0605
Cl12 Cl 0.9395 0.0704 0.2861
```

11.
This record from Alexandria describes RbCdCl3 at its PBEsol-relaxed geometry. The functional is meta-GGA SCAN.

Summary:
Uncorrected energy, eV/atom: -16.697
Crystal system: orthorhombic
SG: Pnma
Raw formation energy, eV/atom: -1.68

Geometry as CIF:
```
data_RbCdCl3
_cell_length_a 8.8924
_cell_length_b 4.0258
_cell_length_c 14.9638
_cell_angle_alpha 90.00
_cell_angle_beta 90.00
_cell_angle_gamma 90.00
_symmetry_space_group_name_H-M 'P 1'
_symmetry_Int_Tables_number 1
loop_
_symmetry_equiv_pos_as_xyz
'x,y,z'
loop_
_atom_site_label
_atom_site_type_symbol
_atom_site_fract_x
_atom_site_fract_y
_atom_site_fract_z
Rb1 Rb 0.0705 0.2500 0.1748
Rb2 Rb 0.4295 0.7500 0.6748
Rb3 Rb 0.5705 0.2500 0.3252
Rb4 Rb 0.9295 0.7500 0.8252
Cd1 Cd 0.1665 0.7500 0.4442
Cd2 Cd 0.3335 0.2500 0.9442
Cd3 Cd 0.6665 0.7500 0.0558
Cd4 Cd 0.8335 0.2500 0.5558
Cl1 Cl 0.0254 0.7500 0.5990
Cl2 Cl 0.1688 0.7500 0.0047
Cl3 Cl 0.2166 0.2500 0.7920
Cl4 Cl 0.2834 0.7500 0.2920
Cl5 Cl 0.3312 0.2500 0.5047
Cl6 Cl 0.4746 0.2500 0.0990
Cl7 Cl 0.5254 0.7500 0.9010
Cl8 Cl 0.6688 0.7500 0.4953
Cl9 Cl 0.7166 0.2500 0.7080
Cl10 Cl 0.7834 0.7500 0.2080
Cl11 Cl 0.8312 0.2500 0.9953
Cl12 Cl 0.9746 0.2500 0.4010
```

12.
This record from Alexandria describes Rb2Cd2Cl at its PBEsol-relaxed geometry. The functional is meta-GGA SCAN.

Summary:
Uncorrected energy, eV/atom: -22.903
Crystal system: tetragonal
SG: I4/mmm
Raw formation energy, eV/atom: -0.85

Geometry as CIF:
```
data_Rb2Cd2Cl
_cell_length_a 10.5313
_cell_length_b 10.5313
_cell_length_c 10.5313
_cell_angle_alpha 157.77
_cell_angle_beta 157.77
_cell_angle_gamma 31.65
_symmetry_space_group_name_H-M 'P 1'
_symmetry_Int_Tables_number 1
loop_
_symmetry_equiv_pos_as_xyz
'x,y,z'
loop_
_atom_site_label
_atom_site_type_symbol
_atom_site_fract_x
_atom_site_fract_y
_atom_site_fract_z
Rb1 Rb 0.0917 0.0917 0.0000
Rb2 Rb 0.9083 0.9083 0.0000
Cd1 Cd 0.2500 0.7500 0.5000
Cd2 Cd 0.7500 0.2500 0.5000
Cl1 Cl 0.5000 0.5000 0.0000
```

13.
This record from Alexandria describes CdRe2Cl at its PBEsol-relaxed geometry. The functional is meta-GGA SCAN.

Summary:
Uncorrected energy, eV/atom: -44.906
Crystal system: trigonal
Energy relative to the lowest polymorph listed for this composition, meV per atom: 14
SG: R3m
Raw formation energy, eV/atom: 0.24

Geometry as CIF:
```
data_CdRe2Cl
_cell_length_a 9.8848
_cell_length_b 9.8848
_cell_length_c 9.8848
_cell_angle_alpha 16.62
_cell_angle_beta 16.62
_cell_angle_gamma 16.62
_symmetry_space_group_name_H-M 'P 1'
_symmetry_Int_Tables_number 1
loop_
_symmetry_equiv_pos_as_xyz
'x,y,z'
loop_
_atom_site_label
_atom_site_type_symbol
_atom_site_fract_x
_atom_site_fract_y
_atom_site_fract_z
Cd1 Cd 0.0000 0.0000 0.0000
Re1 Re 0.4888 0.4888 0.4888
Re2 Re 0.7521 0.7521 0.7521
Cl1 Cl 0.2208 0.2208 0.2208
```